Record 1
Material: SrNpGa
Method: DFT, PBE
State: optimized geometry

Cell lengths 5.111, 5.111, 5.111 Å; angles 60.00, 60.00, 60.00 degrees
Sites, in units of the cell vectors:
Sr (0.000, 0.000, 0.000)
Np (0.750, 0.750, 0.750)
Ga (0.500, 0.500, 0.500)

Summary:
Final energy   -4.974 eV per atom

=====

Record 2
Material: NpTaGa
Method: DFT, PBE
State: optimized geometry

Cell lengths 4.496, 4.496, 4.496 Å; angles 60.00, 60.00, 60.00 degrees
Sites, in units of the cell vectors:
Np (0.000, 0.000, 0.000)
Ta (0.500, 0.500, 0.500)
Ga (0.250, 0.250, 0.250)

Summary:
Final energy   -8.570 eV per atom

=====

Record 3
Material: TbNpGa
Method: DFT, PBE
State: optimized geometry

Cell lengths 4.927, 4.927, 4.927 Å; angles 60.00, 60.00, 60.00 degrees
Sites, in units of the cell vectors:
Tb (0.000, 0.000, 0.000)
Np (0.500, 0.500, 0.500)
Ga (0.750, 0.750, 0.750)

Summary:
Relative energy among the computed polymorphs   0 meV per atom
Final energy   -6.558 eV per atom

=====

Record 4
Material: NpGaTc
Method: DFT, PBE
State: optimized geometry

Cell lengths 4.471, 4.471, 4.471 Å; angles 60.00, 60.00, 60.00 degrees
Sites, in units of the cell vectors:
Np (0.000, 0.000, 0.000)
Ga (0.750, 0.750, 0.750)
Tc (0.250, 0.250, 0.250)

Summary:
Final energy   -7.855 eV per atom

=====

Record 5
Material: NpGaTe
Method: DFT, PBE
State: optimized geometry

Cell lengths 4.894, 4.894, 4.894 Å; angles 60.00, 60.00, 60.00 degrees
Sites, in units of the cell vectors:
Np (0.000, 0.000, 0.000)
Ga (0.250, 0.250, 0.250)
Te (0.500, 0.500, 0.500)

Summary:
Relative energy among the computed polymorphs   0 meV per atom
Final energy   -6.204 eV per atom

=====

Record 6
Material: TmNpGa
Method: DFT, PBE
State: optimized geometry

Cell lengths 4.829, 4.829, 4.829 Å; angles 60.00, 60.00, 60.00 degrees
Sites, in units of the cell vectors:
Tm (0.000, 0.000, 0.000)
Np (0.250, 0.250, 0.250)
Ga (0.750, 0.750, 0.750)

Summary:
Final energy   -6.106 eV per atom

=====

Record 7
Material: ZrNpGa
Method: DFT, PBE
State: optimized geometry

Cell lengths 4.715, 4.715, 4.715 Å; angles 60.00, 60.00, 60.00 degrees
Sites, in units of the cell vectors:
Zr (0.000, 0.000, 0.000)
Np (0.500, 0.500, 0.500)
Ga (0.750, 0.750, 0.750)

Summary:
Final energy   -7.778 eV per atom

=====

Record 8
Material: GaOsO4
Method: DFT, PBE
State: optimized geometry

Cell lengths 4.814, 4.814, 11.751 Å; angles 90.00, 90.00, 120.00 degrees
Sites, in units of the cell vectors:
Ga (0.000, 0.415, 0.167)
Ga (0.415, 0.000, 0.833)
Ga (0.585, 0.585, 0.500)
Os (0.000, 0.433, 0.667)
Os (0.433, 0.000, 0.333)
Os (0.567, 0.567, 0.000)
O (0.010, 0.666, 0.794)
O (0.028, 0.681, 0.288)
O (0.319, 0.347, 0.622)
O (0.334, 0.344, 0.127)
O (0.344, 0.334, 0.873)
O (0.347, 0.319, 0.378)
O (0.653, 0.972, 0.955)
O (0.656, 0.990, 0.460)
O (0.666, 0.010, 0.206)
O (0.681, 0.028, 0.712)
O (0.972, 0.653, 0.045)
O (0.990, 0.656, 0.540)

Summary:
Relative energy among the computed polymorphs   397 meV per atom
Final energy   -6.568 eV per atom

=====

Record 9
Material: GaOsO4
Method: DFT, PBE
State: optimized geometry

Cell lengths 5.472, 5.472, 5.472 Å; angles 108.42, 108.42, 111.59 degrees
Sites, in units of the cell vectors:
Ga (0.000, 0.000, 0.000)
Ga (0.750, 0.250, 0.500)
Os (0.262, 0.762, 0.500)
Os (0.512, 0.512, 0.000)
O (0.217, 0.518, 0.699)
O (0.268, 0.069, 0.801)
O (0.268, 0.467, 0.199)
O (0.311, 0.007, 0.303)
O (0.704, 0.007, 0.697)
O (0.757, 0.561, 0.803)
O (0.757, 0.954, 0.197)
O (0.819, 0.518, 0.301)

Summary:
Relative energy among the computed polymorphs   0 meV per atom
Final energy   -6.965 eV per atom

=====

Record 10
Material: GaOsO4
Method: DFT, PBE
State: optimized geometry

Cell lengths 6.408, 6.408, 6.612 Å; angles 105.73, 105.73, 34.69 degrees
Sites, in units of the cell vectors:
Ga (0.189, 0.189, 0.270)
Ga (0.811, 0.811, 0.730)
Os (0.108, 0.108, 0.702)
Os (0.892, 0.892, 0.298)
O (0.064, 0.064, 0.389)
O (0.117, 0.117, 0.983)
O (0.267, 0.267, 0.684)
O (0.357, 0.357, 0.298)
O (0.643, 0.643, 0.702)
O (0.733, 0.733, 0.316)
O (0.883, 0.883, 0.017)
O (0.936, 0.936, 0.611)

Summary:
Relative energy among the computed polymorphs   124 meV per atom
Final energy   -6.840 eV per atom

=====

Record 11
Material: Rb2GaOsO6
Method: DFT, PBE
State: optimized geometry

Cell lengths 5.588, 5.588, 5.588 Å; angles 60.00, 60.00, 60.00 degrees
Sites, in units of the cell vectors:
Rb (0.250, 0.250, 0.250)
Rb (0.750, 0.750, 0.750)
Ga (0.000, 0.000, 0.000)
Os (0.500, 0.500, 0.500)
O (0.257, 0.257, 0.743)
O (0.257, 0.743, 0.257)
O (0.257, 0.743, 0.743)
O (0.743, 0.257, 0.257)
O (0.743, 0.257, 0.743)
O (0.743, 0.743, 0.257)

Summary:
Final energy   -5.853 eV per atom

=====

Record 12
Material: GaPPdO
Method: DFT, PBE
State: optimized geometry

Cell lengths 4.008, 4.008, 8.253 Å; angles 90.00, 90.00, 90.00 degrees
Sites, in units of the cell vectors:
Ga (0.250, 0.750, 0.000)
Ga (0.750, 0.250, 0.000)
P (0.250, 0.250, 0.177)
P (0.750, 0.750, 0.823)
Pd (0.250, 0.250, 0.567)
Pd (0.750, 0.750, 0.433)
O (0.250, 0.750, 0.500)
O (0.750, 0.250, 0.500)

Summary:
Relative energy among the computed polymorphs   716 meV per atom
Final energy   -4.618 eV per atom

=====

Look up the final energy of the twelfth one. -4.618 eV per atom

=====

What is the final energy in the sixth record? -6.106 eV per atom

=====

Which of these has the highest final energy? GaPPdO

=====

final energy of number 11 (Rb2GaOsO6)? -5.853 eV per atom